Computed, not measured: LiAlAu2 after structural relaxation at the PBE level of DFT.

```
LiAlAu2
1.0
2.2152 -3.8369 0.0000
2.2152 3.8369 0.0000
0.0000 0.0000 8.0411
Al Au Li
2 4 2
direct
0.3333 0.6667 0.2500
0.6667 0.3333 0.7500
0.6667 0.3333 0.0829
0.6667 0.3333 0.4171
0.3333 0.6667 0.5829
0.3333 0.6667 0.9171
0.0000 0.0000 0.0000
0.0000 0.0000 0.5000
```


LiLuAlAu, optimized geometry, DFT PBE; E above lowest polymorph = 0 meV/atom; total magnetization = 0.00 μB/cell
1.0
0.0000 3.2913 3.2913
3.2913 0.0000 3.2913
3.2913 3.2913 0.0000
Al Au Li Lu
1 1 1 1
direct
0.2500 0.2500 0.2500
0.0000 0.0000 0.0000
0.5000 0.5000 0.5000
0.7500 0.7500 0.7500


LiLuAlAu, optimized geometry, DFT PBE; E above lowest polymorph = 169 meV/atom; total magnetization = 0.00 μB/cell
1.0
0.8988 1.5431 4.4147
-2.9995 -1.0507 3.5465
1.3016 -3.0885 3.3831
Al Au Li Lu
1 1 1 1
direct
0.2500 0.2500 0.2500
0.7500 0.7500 0.7500
0.5000 0.5000 0.5000
0.0000 0.0000 0.0000


LiLuAlAu, optimized geometry, DFT PBE; E above lowest polymorph = 169 meV/atom; total magnetization = 0.00 μB/cell
1.0
1.2803 -3.1676 -3.1402
1.7201 -4.0801 1.3883
-2.4965 -3.8744 -0.5383
Al Au Li Lu
1 1 1 1
direct
0.0000 0.0000 0.0000
0.7500 0.7500 0.7500
0.5000 0.5000 0.5000
0.2500 0.2500 0.2500


Li2LuScAl2Au2, optimized geometry, DFT PBE; total magnetization = 0.00 μB/cell
1.0
-4.1566 0.1567 1.9689
0.2119 -4.5257 0.8074
2.7813 1.1613 5.7792
Al Au Li Lu Sc
2 2 2 1 1
direct
0.0000 0.0000 0.0000
0.5000 0.5000 0.5000
0.0000 0.5000 0.2429
0.5000 0.0000 0.7571
0.5000 0.0000 0.2400
0.0000 0.5000 0.7600
0.0000 0.0000 0.5000
0.5000 0.5000 0.0000


Computed, not measured: Li2Mg3AlAu2 after structural relaxation at the PBE level of DFT.

```
Li2Mg3AlAu2
1.0
4.5585 0.0000 0.0000
0.0000 4.5585 0.0000
0.0000 0.0000 6.4587
Al Au Li Mg
1 2 2 3
direct
0.0000 0.0000 0.0000
0.0000 0.5000 0.2397
0.5000 0.0000 0.7603
0.5000 0.0000 0.2334
0.0000 0.5000 0.7666
0.5000 0.5000 0.0000
0.0000 0.0000 0.5000
0.5000 0.5000 0.5000
```


Computed, not measured: Li4MgAl2Au after structural relaxation at the PBE level of DFT.

```
Li4MgAl2Au
1.0
-3.6939 2.0805 1.4138
1.0402 -1.0235 4.2240
3.3057 5.5144 0.5222
Al Au Li Mg
2 1 4 1
direct
0.0000 0.5000 0.2249
0.5000 0.0000 0.7751
0.5000 0.5000 0.0000
0.0000 0.0000 0.0000
0.5000 0.0000 0.2309
0.5000 0.5000 0.5000
0.0000 0.5000 0.7691
0.0000 0.0000 0.5000
```


Computed, not measured: Li2Mg2Al2PdAu after structural relaxation at the PBE level of DFT.

```
Li2Mg2Al2PdAu
1.0
4.4581 0.0000 0.0000
0.0000 4.4581 0.0000
0.0000 0.0000 6.3324
Al Au Li Mg Pd
2 1 2 2 1
direct
0.0000 0.5000 0.2602
0.5000 0.0000 0.7398
0.0000 0.0000 0.0000
0.5000 0.5000 0.0000
0.0000 0.0000 0.5000
0.5000 0.0000 0.2566
0.0000 0.5000 0.7434
0.5000 0.5000 0.5000
```


Li2Mg2Al2PtAu, optimized geometry, DFT PBE; total magnetization = 0.00 μB/cell
1.0
-0.4187 -3.1950 3.0617
0.6301 -3.0871 -3.1353
6.2390 0.1976 1.0594
Al Au Li Mg Pt
2 1 2 2 1
direct
0.0000 0.5000 0.2350
0.5000 0.0000 0.7650
0.5000 0.5000 0.5000
0.5000 0.5000 0.0000
0.0000 0.0000 0.5000
0.5000 0.0000 0.2438
0.0000 0.5000 0.7562
0.0000 0.0000 0.0000


Li2MgScAl2Au2, optimized geometry, DFT PBE; total magnetization = 0.00 μB/cell
1.0
-1.7932 4.1624 -0.0508
-3.6700 -1.6069 -2.1197
-2.7785 -1.1279 5.6657
Al Au Li Mg Sc
2 2 2 1 1
direct
0.5000 0.5000 0.0000
0.0000 0.0000 0.5000
0.5000 0.0000 0.2501
0.0000 0.5000 0.7499
0.0000 0.5000 0.2362
0.5000 0.0000 0.7638
0.0000 0.0000 0.0000
0.5000 0.5000 0.5000


Computed, not measured: Li2Mg2AlTlAu2 after structural relaxation at the PBE level of DFT.

```
Li2Mg2AlTlAu2
1.0
4.6109 0.0000 0.0000
0.0000 4.6109 0.0000
0.0000 0.0000 6.6129
Al Au Li Mg Tl
1 2 2 2 1
direct
0.0000 0.0000 0.0000
0.0000 0.5000 0.2153
0.5000 0.0000 0.7847
0.5000 0.0000 0.2391
0.0000 0.5000 0.7609
0.5000 0.5000 0.0000
0.0000 0.0000 0.5000
0.5000 0.5000 0.5000
```


Computed, not measured: Li2Mg2AlZnAu2 after structural relaxation at the PBE level of DFT.

```
Li2Mg2AlZnAu2
1.0
-2.0516 1.6262 3.6568
-3.7721 0.5873 -2.3774
-1.8941 -5.8810 1.5527
Al Au Li Mg Zn
1 2 2 2 1
direct
0.0000 0.0000 0.0000
0.0000 0.5000 0.2402
0.5000 0.0000 0.7598
0.5000 0.0000 0.2556
0.0000 0.5000 0.7444
0.5000 0.5000 0.0000
0.0000 0.0000 0.5000
0.5000 0.5000 0.5000
```


Computed, not measured: LiAlPAuO5 after structural relaxation at the PBE level of DFT.

```
LiAlPAuO5
1.0
4.8778 0.0000 0.0000
-1.1866 4.8327 0.0000
-0.3786 -1.3082 7.1772
Al Au Li O P
2 2 2 10 2
direct
0.0000 0.0000 0.0000
0.5000 0.5000 0.5000
0.4286 0.7461 0.0410
0.5714 0.2539 0.9590
0.7448 0.0264 0.3950
0.2552 0.9736 0.6050
0.0894 0.3573 0.1443
0.9251 0.8217 0.2007
0.6553 0.3466 0.2749
0.3365 0.7401 0.3734
0.1143 0.2952 0.4923
0.8857 0.7048 0.5077
0.6635 0.2599 0.6266
0.3447 0.6534 0.7251
0.0749 0.1783 0.7993
0.9106 0.6427 0.8557
0.9893 0.5736 0.3024
0.0107 0.4264 0.6976
```


Number 1: raw total energy -3.490 eV/atom. Number 2: raw total energy -3.979 eV/atom. Number 3: raw total energy -3.810 eV/atom. Number 4: raw total energy -3.810 eV/atom. Number 5: raw total energy -4.217 eV/atom. Number 6: raw total energy -2.826 eV/atom. Number 7: raw total energy -2.794 eV/atom. Number 8: raw total energy -3.391 eV/atom. Number 9: raw total energy -3.588 eV/atom. Number 10: raw total energy -3.762 eV/atom. Number 11: raw total energy -2.857 eV/atom. Number 12: raw total energy -2.776 eV/atom. Number 13: raw total energy -6.026 eV/atom.